(1)
{"formula": "CoBiTeI2", "functional": "PBE-GGA", "state": "relaxed", "total_magnetization_mub_per_cell": 0.84, "space_group": "P4/mmm, No. 123", "n_ef_per_ev_atom": 1.053, "de_polymorph_kcal_per_mol_atoms": 0.00, "final_energy_ev_per_cell": -15.8, "formation_energy_uncorrected_kcal_per_mol_atoms": 6.4, "lattice_angstrom": [[5.184, 0.000, 0.000], [0.000, 5.184, 0.000], [0.000, 0.000, 5.245]], "species": ["Te", "Co", "I", "Bi", "I"], "fractional_positions": [[0.000, 0.000, 0.500], [0.000, 0.000, 0.000], [0.000, 0.500, 0.000], [0.500, 0.500, 0.500], [0.500, 0.000, 0.000]]}

---

(2)
{"formula": "ZnCo2BiI", "functional": "PBE-GGA", "state": "relaxed", "total_magnetization_mub_per_cell": 4.00, "space_group": "P4/mmm, No. 123", "n_ef_per_ev_atom": 0.920, "final_energy_ev_per_cell": -15.1, "formation_energy_uncorrected_kcal_per_mol_atoms": 26.6, "lattice_angstrom": [[5.021, 0.000, 0.000], [0.000, 6.381, 0.000], [0.000, 0.000, 5.021]], "species": ["Zn", "Bi", "Co", "Co", "I"], "fractional_positions": [[0.500, 0.500, 0.500], [0.000, 0.000, 0.000], [0.500, 0.000, 0.000], [0.000, 0.000, 0.500], [0.000, 0.500, 0.000]]}